Record 1
TaAsNO | PBE | optimized geometry

The energy above the most stable polymorph in this dataset comes out at 0.145 eV/atom. Its crystal system is orthorhombic.

Unit cell a=3.1219 b=6.4943 c=6.5955 alpha=90.00 beta=90.00 gamma=90.00
Space group Pmc2_1 (No. 26)
Unique sites:
Ta1 0.0000 0.1103 0.0000
As1 0.5000 0.2446 0.4923
N1 0.0000 0.1362 0.6958
O1 0.5000 0.2709 0.0639



Record 2
TaAsNO | PBE | optimized geometry

The energy above the most stable polymorph in this dataset comes out at 0.140 eV/atom. Its crystal system is orthorhombic.

Unit cell a=6.2020 b=6.4891 c=5.6596 alpha=90.00 beta=90.00 gamma=90.00
Space group Pca2_1 (No. 29)
Unique sites:
Ta1 0.0820 0.0400 0.0000
As1 0.1076 0.6380 0.7563
N1 0.2122 0.7755 0.4825
O1 0.1342 0.1483 0.6588



Record 3
TbAsNO | PBE | optimized geometry

The energy above the most stable polymorph in this dataset comes out at 0.000 eV/atom. Its crystal system is orthorhombic.

Unit cell a=5.4045 b=7.6965 c=5.8860 alpha=90.00 beta=90.00 gamma=90.00
Space group Pca2_1 (No. 29)
Unique sites:
Tb1 0.0063 0.1377 0.0000
As1 0.0351 0.3816 0.4799
N1 0.1954 0.5919 0.4803
O1 0.2489 0.9886 0.7504



Record 4
TbAsNO | PBE | optimized geometry

The energy above the most stable polymorph in this dataset comes out at 0.269 eV/atom. Its crystal system is orthorhombic.

Unit cell a=6.5541 b=6.9716 c=5.6708 alpha=90.00 beta=90.00 gamma=90.00
Space group Pca2_1 (No. 29)
Unique sites:
Tb1 0.0837 0.1728 0.0000
As1 0.1538 0.7085 0.0465
N1 0.0767 0.1329 0.5851
O1 0.0655 0.4734 0.0568



Record 5
TbAsNO | PBE | optimized geometry

The energy above the most stable polymorph in this dataset comes out at 0.398 eV/atom. Its crystal system is tetragonal.

Unit cell a=4.8808 b=4.8808 c=4.7168 alpha=90.00 beta=90.00 gamma=90.00
Space group P4/nmm (No. 129, origin choice 2)
Unique sites:
Tb1 0.2500 0.7500 0.0000
As1 0.2500 0.2500 0.4765
N1 0.2500 0.2500 0.0835
O1 0.2500 0.7500 0.5000



Record 6
TbAsN2O | PBE | optimized geometry

Its crystal system is hexagonal.

Unit cell a=6.3759 b=6.3759 c=11.2801 alpha=90.00 beta=90.00 gamma=120.00
Space group P6_3cm (No. 185)
Unique sites:
Tb1 0.0000 0.0000 0.0000
Tb2 0.3333 0.6667 0.4688
As1 0.0000 0.3338 0.2318
N1 0.0000 0.3137 0.3862
N2 0.0000 0.3532 0.0782
O1 0.0000 0.0000 0.2115
O2 0.3333 0.6667 0.2486



| no. | uncorrected energy (eV per atom) |
| --- | --- |
| 1 | -8.277 |
| 2 | -8.281 |
| 3 | -7.140 |
| 4 | -6.870 |
| 5 | -6.742 |
| 6 | -6.947 |